1) First-principles (GGA-PBE) data for Pm5Sm3Tm3 after structural relaxation, as listed in Alexandria.

Summary:
Space-group type ... P-62m
Size of the total moment ... 0.00 μB/f.u.

Unit cell a=3.4541 b=11.2844 c=11.2843 alpha=120.00 beta=90.00 gamma=90.00
Closest atoms and distances in Å follow each position.
Element x y z (fractional)
Pm: 0.5000 0.6667 0.3333  5 Pm 3.45-3.74, 6 Sm 3.84
Pm: 0.5000 0.3333 0.6667  5 Pm 3.45-3.74, 6 Sm 3.84
Pm: 0.5000 0.3371 0.0000  2 Tm 3.30, 2 Sm 3.40, 2 Pm 3.45
Pm: 0.5000 0.6629 0.6629  2 Tm 3.30, 2 Sm 3.40, 2 Pm 3.45
Pm: 0.5000 0.0000 0.3371  2 Tm 3.30, 2 Sm 3.40, 2 Pm 3.45
Sm: 0.0000 0.5966 0.0000  2 Tm 3.25, 2 Pm 3.40, 2 Sm 3.45
Sm: 0.0000 0.0000 0.5966  2 Tm 3.25, 2 Pm 3.40, 2 Sm 3.45
Sm: 0.0000 0.4034 0.4034  2 Tm 3.25, 2 Pm 3.40, 2 Sm 3.45
Tm: 0.5000 0.8410 0.0000  4 Tm 3.11-3.45, 2 Sm 3.25, 2 Pm 3.30
Tm: 0.5000 0.1590 0.1590  4 Tm 3.11-3.45, 2 Sm 3.25, 2 Pm 3.30
Tm: 0.5000 0.0000 0.8410  4 Tm 3.11-3.45, 2 Sm 3.25, 2 Pm 3.30

2) First-principles (GGA-PBE) data for Pm5Sm3Tm3 after structural relaxation, as listed in Alexandria.

Summary:
Space-group type ... P-62m
Size of the total moment ... 0.01 μB/f.u.

Unit cell a=5.5412 b=9.7440 c=9.7440 alpha=120.00 beta=90.00 gamma=90.00
Closest atoms and distances in Å follow each position.
Element x y z (fractional)
Pm: 0.5000 0.3333 0.6667  3 Tm 3.09
Pm: 0.5000 0.6667 0.3333  3 Tm 3.09
Pm: 0.5000 0.2694 0.2694  3 Tm 3.22-3.53, 2 Sm 3.22, 2 Pm 3.60
Pm: 0.5000 0.0000 0.7306  3 Tm 3.22-3.53, 2 Sm 3.22, 2 Pm 3.60
Pm: 0.5000 0.7306 0.0000  3 Tm 3.22-3.53, 2 Sm 3.22, 2 Pm 3.60
Sm: 0.0000 0.4377 0.4377  2 Pm 3.22, 2 Tm 3.35
Sm: 0.0000 0.5623 0.0000  2 Pm 3.22, 2 Tm 3.35
Sm: 0.0000 0.0000 0.5623  2 Pm 3.22, 2 Tm 3.35
Tm: 0.5000 0.6318 0.6318  4 Pm 3.09-3.22, 2 Sm 3.35
Tm: 0.5000 0.0000 0.3682  4 Pm 3.09-3.22, 2 Sm 3.35
Tm: 0.5000 0.3682 0.0000  4 Pm 3.09-3.22, 2 Sm 3.35

1) is the most stable structure; the next one sits 441 meV per atom above it.

1) First-principles (GGA-PBE) data for PmSm7Tm3 after structural relaxation, as listed in Alexandria.

Summary:
Space-group type ... P3m1
Size of the total moment ... 0.00 μB/f.u.

Unit cell a=8.6223 b=7.1474 c=7.1474 alpha=120.00 beta=90.00 gamma=90.00
Closest atoms and distances in Å follow each position.
Element x y z (fractional)
Pm: 0.4434 0.3333 0.6667  9 Sm 3.53-3.58, 3 Tm 3.59
Sm: 0.1102 0.1677 0.8323  2 Tm 3.49, 1 Pm 3.53, 8 Sm 3.55-3.63
Sm: 0.1102 0.1677 0.3354  2 Tm 3.49, 1 Pm 3.53, 8 Sm 3.55-3.63
Sm: 0.1226 0.6667 0.3333  9 Sm 3.53-3.58, 3 Tm 3.58
Sm: 0.4561 0.8323 0.1677  2 Tm 3.49, 7 Sm 3.53-3.63, 2 Pm 3.58
Sm: 0.4561 0.3354 0.1677  2 Tm 3.49, 7 Sm 3.53-3.63, 2 Pm 3.58
Sm: 0.4561 0.8323 0.6646  2 Tm 3.49, 7 Sm 3.53-3.63, 2 Pm 3.58
Sm: 0.1102 0.6646 0.8323  2 Tm 3.49, 1 Pm 3.53, 8 Sm 3.55-3.63
Tm: 0.7834 0.5001 0.4999  5 Sm 3.49-3.58, 4 Tm 3.57-3.58, 1 Pm 3.59
Tm: 0.7834 0.5001 0.0002  5 Sm 3.49-3.58, 4 Tm 3.57-3.58, 1 Pm 3.59
Tm: 0.7834 0.9998 0.4999  5 Sm 3.49-3.58, 4 Tm 3.57-3.58, 1 Pm 3.59

2) First-principles (GGA-PBE) data for PmSm7Tm3 after structural relaxation, as listed in Alexandria.

Summary:
Space-group type ... Cmcm
Size of the total moment ... 0.00 μB/f.u.

Unit cell a=9.9011 b=9.9011 c=11.3001 alpha=90.00 beta=90.00 gamma=138.26
Closest atoms and distances in Å follow each position.
Element x y z (fractional)
Pm: 0.5000 0.5000 0.0000  10 Sm 3.39-3.71, 2 Tm 3.53
Pm: 0.5000 0.5000 0.5000  10 Sm 3.39-3.71, 2 Tm 3.53
Sm: 0.6648 0.8404 0.2500  3 Sm 3.25-3.45, 2 Tm 3.47-3.49
Sm: 0.1596 0.3352 0.7500  3 Sm 3.25-3.45, 2 Tm 3.47-3.49
Sm: 0.4122 0.0870 0.4702  4 Sm 3.30-3.60, 3 Tm 3.45-3.50, 1 Pm 3.51
Sm: 0.4122 0.0870 0.0298  4 Sm 3.30-3.60, 3 Tm 3.45-3.50, 1 Pm 3.51
Sm: 0.9130 0.5878 0.9702  4 Sm 3.30-3.60, 3 Tm 3.45-3.50, 1 Pm 3.51
Sm: 0.9130 0.5878 0.5298  4 Sm 3.30-3.60, 3 Tm 3.45-3.50, 1 Pm 3.51
Sm: 0.7659 0.7659 0.7500  2 Tm 3.27, 2 Pm 3.39
Sm: 0.2341 0.2341 0.2500  2 Tm 3.27, 2 Pm 3.39
Sm: 0.0870 0.4122 0.0298  4 Sm 3.30-3.60, 3 Tm 3.45-3.50, 1 Pm 3.51
Sm: 0.0870 0.4122 0.4702  4 Sm 3.30-3.60, 3 Tm 3.45-3.50, 1 Pm 3.51
Sm: 0.5878 0.9130 0.9702  4 Sm 3.30-3.60, 3 Tm 3.45-3.50, 1 Pm 3.51
Sm: 0.5878 0.9130 0.5298  4 Sm 3.30-3.60, 3 Tm 3.45-3.50, 1 Pm 3.51
Sm: 0.8404 0.6648 0.2500  3 Sm 3.25-3.45, 2 Tm 3.47-3.49
Sm: 0.3352 0.1596 0.7500  3 Sm 3.25-3.45, 2 Tm 3.47-3.49
Tm: 0.7512 0.2513 0.7500  6 Sm 3.45-3.49, 2 Tm 3.53
Tm: 0.0000 0.0000 0.0000  6 Sm 3.27-3.50, 2 Pm 3.53
Tm: 0.0000 0.0000 0.5000  6 Sm 3.27-3.50, 2 Pm 3.53
Tm: 0.7487 0.2488 0.2500  6 Sm 3.45-3.49, 2 Tm 3.53
Tm: 0.2513 0.7512 0.7500  6 Sm 3.45-3.49, 2 Tm 3.53
Tm: 0.2488 0.7487 0.2500  6 Sm 3.45-3.49, 2 Tm 3.53

2) is the most stable structure; the next one sits 46 meV per atom above it.

1) First-principles (GGA-PBE) data for Pm6SmTm3 after structural relaxation, as listed in Alexandria.

Summary:
Space-group type ... Cmc2_1
Size of the total moment ... 0.00 μB/f.u.

Unit cell a=6.2903 b=11.0788 c=11.0788 alpha=120.52 beta=90.00 gamma=90.00
Closest atoms and distances in Å follow each position.
Element x y z (fractional)
Pm: 0.0453 0.7093 0.6266  4 Tm 3.47-3.72, 5 Pm 3.50-3.78
Pm: 0.5453 0.6266 0.7093  4 Tm 3.47-3.72, 5 Pm 3.50-3.78
Pm: 0.3664 0.5255 0.9442  3 Pm 3.13-3.51, 1 Tm 3.30, 1 Sm 3.32
Pm: 0.8664 0.9442 0.5255  3 Pm 3.13-3.51, 1 Tm 3.30, 1 Sm 3.32
Pm: 0.3899 0.9618 0.0382  1 Sm 3.38, 4 Pm 3.47-3.78, 4 Tm 3.51-3.58
Pm: 0.6466 0.2807 0.7193  4 Pm 3.13-3.51, 1 Sm 3.36, 1 Tm 3.40
Pm: 0.1466 0.7193 0.2807  4 Pm 3.13-3.51, 1 Sm 3.36, 1 Tm 3.40
Pm: 0.8899 0.0382 0.9618  1 Sm 3.38, 4 Pm 3.47-3.78, 4 Tm 3.51-3.58
Pm: 0.3664 0.0558 0.4745  3 Pm 3.13-3.51, 1 Tm 3.30, 1 Sm 3.32
Pm: 0.8664 0.4745 0.0558  3 Pm 3.13-3.51, 1 Tm 3.30, 1 Sm 3.32
Pm: 0.0453 0.3734 0.2907  4 Tm 3.47-3.72, 5 Pm 3.50-3.78
Pm: 0.5453 0.2907 0.3734  4 Tm 3.47-3.72, 5 Pm 3.50-3.78
Sm: 0.1160 0.1974 0.8026  3 Tm 3.30-3.62, 6 Pm 3.32-3.52
Sm: 0.6160 0.8026 0.1974  3 Tm 3.30-3.62, 6 Pm 3.32-3.52
Tm: 0.4632 0.9432 0.7152  1 Sm 3.30, 6 Pm 3.30-3.58
Tm: 0.9632 0.7152 0.9432  1 Sm 3.30, 6 Pm 3.30-3.58
Tm: 0.0830 0.3852 0.6148  7 Pm 3.40-3.72, 1 Sm 3.62, 2 Tm 3.70
Tm: 0.5830 0.6148 0.3852  7 Pm 3.40-3.72, 1 Sm 3.62, 2 Tm 3.70
Tm: 0.9632 0.0568 0.2848  1 Sm 3.30, 6 Pm 3.30-3.58
Tm: 0.4632 0.2848 0.0568  1 Sm 3.30, 6 Pm 3.30-3.58

2) First-principles (GGA-PBE) data for Pm6SmTm3 after structural relaxation, as listed in Alexandria.

Summary:
Space-group type ... Cmc2_1
Size of the total moment ... 0.00 μB/f.u.

Unit cell a=6.4276 b=11.7066 c=11.7066 alpha=130.65 beta=90.00 gamma=90.00
Closest atoms and distances in Å follow each position.
Element x y z (fractional)
Pm: 0.0759 0.7379 0.6202  3 Tm 3.36-3.58, 3 Pm 3.50-3.74
Pm: 0.5759 0.6202 0.7379  3 Tm 3.36-3.58, 3 Pm 3.50-3.74
Pm: 0.3256 0.4551 0.8936  3 Tm 3.32-3.70, 3 Pm 3.41-3.63, 1 Sm 3.63
Pm: 0.8256 0.8936 0.4551  3 Tm 3.32-3.70, 3 Pm 3.41-3.63, 1 Sm 3.63
Pm: 0.3038 0.9844 0.0156  2 Pm 3.28, 1 Sm 3.31, 4 Tm 3.51-3.63
Pm: 0.7974 0.3009 0.6991  1 Tm 3.16, 1 Sm 3.33, 2 Pm 3.50
Pm: 0.2974 0.6991 0.3009  1 Tm 3.16, 1 Sm 3.33, 2 Pm 3.50
Pm: 0.8038 0.0156 0.9844  2 Pm 3.28, 1 Sm 3.31, 4 Tm 3.51-3.63
Pm: 0.3256 0.1064 0.5449  3 Tm 3.32-3.70, 3 Pm 3.41-3.63, 1 Sm 3.63
Pm: 0.8256 0.5449 0.1064  3 Tm 3.32-3.70, 3 Pm 3.41-3.63, 1 Sm 3.63
Pm: 0.0759 0.3798 0.2621  3 Tm 3.36-3.58, 3 Pm 3.50-3.74
Pm: 0.5759 0.2621 0.3798  3 Tm 3.36-3.58, 3 Pm 3.50-3.74
Sm: 0.0090 0.1582 0.8418  4 Pm 3.31-3.63, 2 Tm 3.56
Sm: 0.5090 0.8418 0.1582  4 Pm 3.31-3.63, 2 Tm 3.56
Tm: 0.4880 0.9572 0.7059  2 Tm 3.29-3.45, 5 Pm 3.32-3.63, 1 Sm 3.56
Tm: 0.9880 0.7059 0.9572  2 Tm 3.29-3.45, 5 Pm 3.32-3.63, 1 Sm 3.56
Tm: 0.0963 0.4186 0.5814  3 Pm 3.16-3.46, 2 Tm 3.45
Tm: 0.5963 0.5814 0.4186  3 Pm 3.16-3.46, 2 Tm 3.45
Tm: 0.9880 0.0428 0.2941  2 Tm 3.29-3.45, 5 Pm 3.32-3.63, 1 Sm 3.56
Tm: 0.4880 0.2941 0.0428  2 Tm 3.29-3.45, 5 Pm 3.32-3.63, 1 Sm 3.56

2) is the most stable structure; the next one sits 18 meV per atom above it.

1) First-principles (GGA-PBE) data for PmSm7Tm12 after structural relaxation, as listed in Alexandria.

Summary:
Space-group type ... R-3
Size of the total moment ... 0.00 μB/f.u.

Unit cell a=8.6570 b=8.6570 c=8.6570 alpha=95.22 beta=95.22 gamma=95.22
Closest atoms and distances in Å follow each position.
Element x y z (fractional)
Pm: 0.0000 0.0000 0.0000  6 Sm 3.08
Sm: 0.9150 0.6447 0.9805  1 Sm 3.05, 2 Tm 3.06-3.38, 1 Pm 3.08
Sm: 0.3553 0.0195 0.0850  1 Sm 3.05, 2 Tm 3.06-3.38, 1 Pm 3.08
Sm: 0.0195 0.0850 0.3553  1 Sm 3.05, 2 Tm 3.06-3.38, 1 Pm 3.08
Sm: 0.5000 0.5000 0.5000  6 Tm 3.06
Sm: 0.9805 0.9150 0.6447  1 Sm 3.05, 2 Tm 3.06-3.38, 1 Pm 3.08
Sm: 0.6447 0.9805 0.9150  1 Sm 3.05, 2 Tm 3.06-3.38, 1 Pm 3.08
Sm: 0.0850 0.3553 0.0195  1 Sm 3.05, 2 Tm 3.06-3.38, 1 Pm 3.08
Tm: 0.8130 0.2524 0.6819  3 Tm 3.32-3.49, 3 Sm 3.38-3.57
Tm: 0.7476 0.3181 0.1870  3 Tm 3.32-3.49, 3 Sm 3.38-3.57
Tm: 0.4834 0.1476 0.4172  2 Sm 3.06, 2 Tm 3.06-3.32
Tm: 0.8524 0.5828 0.5166  2 Sm 3.06, 2 Tm 3.06-3.32
Tm: 0.3181 0.1870 0.7476  3 Tm 3.32-3.49, 3 Sm 3.38-3.57
Tm: 0.5828 0.5166 0.8524  2 Sm 3.06, 2 Tm 3.06-3.32
Tm: 0.4172 0.4834 0.1476  2 Sm 3.06, 2 Tm 3.06-3.32
Tm: 0.6819 0.8130 0.2524  3 Tm 3.32-3.49, 3 Sm 3.38-3.57
Tm: 0.1476 0.4172 0.4834  2 Sm 3.06, 2 Tm 3.06-3.32
Tm: 0.5166 0.8524 0.5828  2 Sm 3.06, 2 Tm 3.06-3.32
Tm: 0.2524 0.6819 0.8130  3 Tm 3.32-3.49, 3 Sm 3.38-3.57
Tm: 0.1870 0.7476 0.3181  3 Tm 3.32-3.49, 3 Sm 3.38-3.57

2) First-principles (GGA-PBE) data for PmSm7Tm12 after structural relaxation, as listed in Alexandria.

Summary:
Space-group type ... Im-3m
Size of the total moment ... 0.00 μB/f.u.

Unit cell a=9.6743 b=9.6743 c=9.6743 alpha=109.47 beta=109.47 gamma=109.47
Closest atoms and distances in Å follow each position.
Element x y z (fractional)
Pm: 0.0000 0.0000 0.0000  12 Tm 3.96
Sm: 0.5000 0.5000 0.0000  12 Tm 3.94-3.95
Sm: 0.0000 0.5000 0.5000  12 Tm 3.94-3.95
Sm: 0.5000 0.0000 0.5000  12 Tm 3.94-3.95
Sm: 0.5000 0.5000 0.5000  6 Tm 2.79
Sm: 0.0000 0.0000 0.5000  6 Tm 2.79
Sm: 0.5000 0.0000 0.0000  6 Tm 2.79
Sm: 0.0000 0.5000 0.0000  6 Tm 2.79
Tm: 0.4985 0.7491 0.7495  2 Sm 2.79
Tm: 0.9996 0.7491 0.2505  2 Sm 2.79
Tm: 0.5015 0.2509 0.2505  2 Sm 2.79
Tm: 0.0004 0.2509 0.7495  2 Sm 2.79
Tm: 0.7495 0.0004 0.2509  2 Sm 2.79
Tm: 0.7495 0.4985 0.7491  2 Sm 2.79
Tm: 0.2505 0.9996 0.7491  2 Sm 2.79
Tm: 0.2505 0.5015 0.2509  2 Sm 2.79
Tm: 0.7491 0.7495 0.4985  2 Sm 2.79
Tm: 0.2509 0.2505 0.5015  2 Sm 2.79
Tm: 0.7491 0.2505 0.9996  2 Sm 2.79
Tm: 0.2509 0.7495 0.0004  2 Sm 2.79

1) is the most stable structure; the next one sits 377 meV per atom above it.

1) First-principles (GGA-PBE) data for PmSm4Tm2 after structural relaxation, as listed in Alexandria.

Summary:
Space-group type ... P2_1/m
Size of the total moment ... 0.00 μB/f.u.

Unit cell a=6.1836 b=6.5958 c=11.6892 alpha=90.00 beta=105.84 gamma=90.00
Closest atoms and distances in Å follow each position.
Element x y z (fractional)
Pm: 0.1650 0.7500 0.1534  6 Sm 3.39-3.47, 2 Tm 3.46-3.64
Pm: 0.8350 0.2500 0.8466  6 Sm 3.39-3.47, 2 Tm 3.46-3.64
Sm: 0.6472 0.5004 0.2872  5 Sm 3.29-3.52, 1 Pm 3.39, 3 Tm 3.55-3.67
Sm: 0.0124 0.7500 0.8520  3 Tm 3.37-3.58, 3 Pm 3.39-3.47, 2 Sm 3.42
Sm: 0.9876 0.2500 0.1480  3 Tm 3.37-3.58, 3 Pm 3.39-3.47, 2 Sm 3.42
Sm: 0.6472 0.9996 0.2872  5 Sm 3.29-3.52, 1 Pm 3.39, 3 Tm 3.55-3.67
Sm: 0.8544 0.2500 0.5585  4 Tm 3.37-3.43, 1 Pm 3.40, 4 Sm 3.49-3.52
Sm: 0.3528 0.0004 0.7128  5 Sm 3.29-3.52, 1 Pm 3.39, 3 Tm 3.55-3.67
Sm: 0.3528 0.4996 0.7128  5 Sm 3.29-3.52, 1 Pm 3.39, 3 Tm 3.55-3.67
Sm: 0.1456 0.7500 0.4415  4 Tm 3.37-3.43, 1 Pm 3.40, 4 Sm 3.49-3.52
Tm: 0.6021 0.7500 0.9991  6 Sm 3.43-3.69, 2 Pm 3.46-3.64, 2 Tm 3.53
Tm: 0.3979 0.2500 0.0009  6 Sm 3.43-3.69, 2 Pm 3.46-3.64, 2 Tm 3.53
Tm: 0.2933 0.2500 0.4353  9 Sm 3.37-3.57
Tm: 0.7067 0.7500 0.5647  9 Sm 3.37-3.57

2) First-principles (GGA-PBE) data for PmSm4Tm2 after structural relaxation, as listed in Alexandria.

Summary:
Space-group type ... Cc
Size of the total moment ... 0.00 μB/f.u.

Unit cell a=12.4865 b=12.4865 c=6.7731 alpha=97.03 beta=97.03 gamma=150.14
Closest atoms and distances in Å follow each position.
Element x y z (fractional)
Pm: 0.4271 0.6771 0.4997  4 Tm 3.45-3.60, 8 Sm 3.56-3.77
Pm: 0.6771 0.4271 0.9997  4 Tm 3.45-3.60, 8 Sm 3.56-3.77
Sm: 0.7140 0.1770 0.8668  6 Sm 3.43-3.82, 3 Tm 3.56-3.83, 2 Pm 3.56-3.63
Sm: 0.1770 0.7140 0.3668  6 Sm 3.43-3.82, 3 Tm 3.56-3.83, 2 Pm 3.56-3.63
Sm: 0.1847 0.7923 0.8975  5 Sm 3.43-3.82, 4 Tm 3.44-3.63, 2 Pm 3.63-3.77
Sm: 0.7922 0.1847 0.3975  5 Sm 3.43-3.82, 4 Tm 3.44-3.63, 2 Pm 3.63-3.77
Sm: 0.0378 0.1453 0.6032  5 Sm 3.43-3.82, 4 Tm 3.44-3.63, 2 Pm 3.63-3.77
Sm: 0.5606 0.5975 0.1343  6 Sm 3.43-3.82, 2 Tm 3.56-3.57, 2 Pm 3.56-3.63
Sm: 0.5975 0.5606 0.6343  6 Sm 3.43-3.82, 2 Tm 3.56-3.57, 2 Pm 3.56-3.63
Sm: 0.1454 0.0378 0.1032  5 Sm 3.43-3.82, 4 Tm 3.44-3.63, 2 Pm 3.63-3.77
Tm: 0.6195 0.3018 0.4468  7 Sm 3.44-3.83, 2 Pm 3.45-3.60, 2 Tm 3.66-3.67
Tm: 0.9222 0.1043 0.0532  7 Sm 3.44-3.84, 2 Pm 3.45-3.60, 2 Tm 3.66-3.67
Tm: 0.1043 0.9222 0.5532  7 Sm 3.44-3.84, 2 Pm 3.45-3.60, 2 Tm 3.66-3.67
Tm: 0.3017 0.6195 0.9468  7 Sm 3.44-3.83, 2 Pm 3.45-3.60, 2 Tm 3.66-3.67

2) is the most stable structure; the next one sits 71 meV per atom above it.

1) First-principles (GGA-PBE) data for Pm2SmTm8 after structural relaxation, as listed in Alexandria.

Summary:
Space-group type ... Immm
Size of the total moment ... 0.00 μB/f.u.

Unit cell a=5.4471 b=8.0059 c=9.3513 alpha=115.35 beta=106.93 gamma=90.00
Closest atoms and distances in Å follow each position.
Element x y z (fractional)
Pm: 0.2003 0.7003 0.4007  10 Tm 3.34-3.61
Pm: 0.7997 0.2997 0.5993  10 Tm 3.34-3.61
Sm: 0.5000 0.0000 0.0000  8 Tm 3.22-3.59
Tm: 0.6390 0.8476 0.2781  1 Sm 3.22, 5 Tm 3.34-3.60, 3 Pm 3.34-3.47
Tm: 0.3610 0.5696 0.7220  1 Sm 3.22, 5 Tm 3.34-3.60, 3 Pm 3.34-3.47
Tm: 0.1609 0.1609 0.3217  8 Tm 3.48-3.61, 2 Pm 3.51, 2 Sm 3.75
Tm: 0.0000 0.2926 0.0000  7 Tm 3.32-3.52, 2 Sm 3.59, 2 Pm 3.61
Tm: 0.8391 0.8391 0.6783  8 Tm 3.48-3.61, 2 Pm 3.51, 2 Sm 3.75
Tm: 0.6390 0.4304 0.2780  1 Sm 3.22, 5 Tm 3.34-3.60, 3 Pm 3.34-3.47
Tm: 0.3610 0.1524 0.7219  1 Sm 3.22, 5 Tm 3.34-3.60, 3 Pm 3.34-3.47
Tm: 0.0000 0.7074 0.0000  7 Tm 3.32-3.52, 2 Sm 3.59, 2 Pm 3.61

2) First-principles (GGA-PBE) data for Pm2SmTm8 after structural relaxation, as listed in Alexandria.

Summary:
Space-group type ... C2/m
Size of the total moment ... 0.00 μB/f.u.

Unit cell a=4.9947 b=7.8922 c=9.3405 alpha=104.66 beta=105.51 gamma=90.00
Closest atoms and distances in Å follow each position.
Element x y z (fractional)
Pm: 0.7726 0.3629 0.5452  10 Tm 3.52-3.55, 2 Pm 3.54
Pm: 0.2274 0.6371 0.4548  10 Tm 3.52-3.55, 2 Pm 3.54
Sm: 0.5000 0.0000 0.0000  12 Tm 3.52-3.53
Tm: 0.4102 0.5453 0.8204  8 Tm 3.49-3.55, 1 Sm 3.53, 3 Pm 3.55
Tm: 0.6814 0.9076 0.3627  8 Tm 3.52-3.55, 3 Pm 3.52-3.54, 1 Sm 3.53
Tm: 0.8641 0.8205 0.7282  7 Tm 3.52-3.55, 2 Sm 3.52, 3 Pm 3.54-3.55
Tm: 0.9554 0.2733 0.9107  9 Tm 3.51-3.53, 2 Sm 3.53, 1 Pm 3.54
Tm: 0.1359 0.1795 0.2718  7 Tm 3.52-3.55, 2 Sm 3.52, 3 Pm 3.54-3.55
Tm: 0.3186 0.0924 0.6373  8 Tm 3.52-3.55, 3 Pm 3.52-3.54, 1 Sm 3.53
Tm: 0.5898 0.4547 0.1796  8 Tm 3.49-3.55, 1 Sm 3.53, 3 Pm 3.55
Tm: 0.0446 0.7267 0.0893  9 Tm 3.51-3.53, 2 Sm 3.53, 1 Pm 3.54

2) is the most stable structure; the next one sits 90 meV per atom above it.